# GGA+U RbMnBe2F8, relaxed
# SG = No. 148
# uncorrected energy = -64.0 eV/cell
# crystal system = trigonal
# total magnetic moment = 2.00 μB/f.u.
data_RbMnBe2F8
_chemical_formula_sum 'Rb1 Mn1 Be2 F8'
_cell_length_a 8.616
_cell_length_b 8.616
_cell_length_c 8.616
_cell_angle_alpha 32.88
_cell_angle_beta 32.88
_cell_angle_gamma 32.88
_symmetry_space_group_name_H-M 'P 1'
_symmetry_Int_Tables_number 1
_symmetry_space_group_name_Hall 'P 1'
loop_
_atom_site_label
_atom_site_fract_x
_atom_site_fract_y
_atom_site_fract_z
Rb1 0.000 0.000 0.000
Mn1 0.500 0.500 0.500
Be1 0.236 0.236 0.236
Be2 0.764 0.764 0.764
F1 0.112 0.743 0.506
F2 0.257 0.494 0.888
F3 0.297 0.297 0.297
F4 0.494 0.888 0.257
F5 0.506 0.112 0.743
F6 0.703 0.703 0.703
F7 0.743 0.506 0.112
F8 0.888 0.257 0.494